Entry 1:
The following is a PBE calculation of CrFeGe after structural relaxation, from Alexandria.

Values from the calculation:
As for the crystal system: hexagonal. The space group is P-6m2 (187). For the formation enthalpy at 0 K, the calculation gives 0.07 eV/atom.

abc: 4.0266 4.0266 2.6588
angles: 90.00 90.00 120.00
Fractional positions:
1 Cr 0.0000 0.0000 0.0000
2 Fe 0.6667 0.3333 0.5000
3 Ge 0.3333 0.6667 0.5000

---

Entry 2:
The following is a PBE calculation of Ba2ZrCo after structural relaxation, from Alexandria.

Values from the calculation:
As for the crystal system: tetragonal. The space group is P4mm (99). The relative energy among the computed polymorphs is 26 meV/atom. For the formation enthalpy at 0 K, the calculation gives 0.28 eV/atom.

abc: 3.5565 3.5565 10.1462
angles: 90.00 90.00 90.00
Fractional positions:
1 Ba 0.0000 0.0000 0.0000
2 Ba 0.5000 0.5000 0.3853
3 Zr 0.5000 0.5000 0.7118
4 Co 0.0000 0.0000 0.6231

---

Entry 3:
The following is a PBE calculation of TbHoTm2Sc after structural relaxation, from Alexandria.

Values from the calculation:
As for the crystal system: orthorhombic. The space group is Cmcm (63). For the formation enthalpy at 0 K, the calculation gives 0.35 eV/atom.

abc: 6.8650 6.8650 7.0282
angles: 90.00 90.00 107.85
Fractional positions:
1 Tb 0.2298 0.7702 0.7500
2 Tb 0.7702 0.2298 0.2500
3 Ho 0.2298 0.7702 0.2500
4 Ho 0.7702 0.2298 0.7500
5 Tm 0.1966 0.1966 0.0000
6 Tm 0.1966 0.1966 0.5000
7 Tm 0.8034 0.8034 0.0000
8 Tm 0.8034 0.8034 0.5000
9 Sc 0.4990 0.5010 0.7500
10 Sc 0.5010 0.4990 0.2500

---

Entry 4:
The following is a PBE calculation of P2Rh after structural relaxation, from Alexandria.

Values from the calculation:
As for the crystal system: cubic. The space group is Fd-3m (227). For the formation enthalpy at 0 K, the calculation gives 0.59 eV/atom.

abc: 4.9290 4.9290 4.9290
angles: 60.00 60.00 60.00
Fractional positions:
1 P 0.0000 0.0000 0.0000
2 P 0.0000 0.0000 0.5000
3 P 0.0000 0.5000 0.0000
4 P 0.5000 0.0000 0.0000
5 Rh 0.3750 0.3750 0.3750
6 Rh 0.6250 0.6250 0.6250

---

It is found that the volume values, taken in the order of the records, are 12.44; 32.08; 31.53; 14.11 A^3/atom.